The following is a meta-GGA SCAN calculation of a PBEsol-optimized structure of MoAuSe2, from Alexandria.

Cell: 2.6330 4.4753 6.1751 Å, 90.00 90.01 90.00°
Fractional coordinates of all 4 atoms:
Mo: 0.0000 0.5000 0.0000
Se: 0.0005 0.0000 0.2314
Se: 0.9995 0.0000 0.7686
Au: 0.0000 0.5000 0.5000

Properties
The polymorph energy (0 for the lowest one) comes out at 347 meV/atom. The calculation puts the density of states at the Fermi level at 0.6035 states/eV/atom. The uncorrected formation energy comes out at 0.425 eV/atom. As for the theoretical density: 10.29 Mg/m³. As for the size of the total moment: 0.0 μB/f.u.